The following is a GGA-PBE calculation of LiNd3Sm2Se6 after structural relaxation, from the Alexandria database.

Calculated values
As for the formation energy without anion corrections: -21.52 eV per formula unit. The value obtained for the calculated total energy is -5.673 eV per atom. Its density of states at the Fermi level is 5.3 states/eV/f.u. As for the space group: C2/m (12).

Cell: 7.225 7.225 7.252 Å, 99.60 99.60 120.17°
Positions (direct):
Li1 0.000 0.000 0.000
Nd1 0.168 0.832 0.500
Nd2 0.500 0.500 0.500
Nd3 0.832 0.168 0.500
Sm1 0.335 0.665 0.000
Sm2 0.665 0.335 0.000
Se1 0.079 0.402 0.239
Se2 0.242 0.242 0.762
Se3 0.402 0.079 0.239
Se4 0.598 0.921 0.761
Se5 0.758 0.758 0.238
Se6 0.921 0.598 0.761

***

The following is a GGA-PBE calculation of LiNdSmSe3 after structural relaxation, from the Alexandria database.

Calculated values
As for the formation energy without anion corrections: -10.06 eV per formula unit. The value obtained for the calculated total energy is -5.318 eV per atom. Its density of states at the Fermi level is 2.1 states/eV/f.u. As for the space group: P2_1/m (11).

Cell: 8.596 4.050 8.906 Å, 90.00 102.36 90.00°
Positions (direct):
Li1 0.086 0.250 0.084
Li2 0.914 0.750 0.916
Nd1 0.185 0.250 0.723
Nd2 0.815 0.750 0.277
Sm1 0.337 0.750 0.335
Sm2 0.663 0.250 0.665
Se1 0.093 0.250 0.370
Se2 0.216 0.750 0.995
Se3 0.424 0.750 0.676
Se4 0.576 0.250 0.324
Se5 0.784 0.250 0.005
Se6 0.907 0.750 0.630

***

The following is a GGA-PBE calculation of Li2NdSmSe4 after structural relaxation, from the Alexandria database.

Calculated values
As for the formation energy without anion corrections: -13.35 eV per formula unit. The value obtained for the calculated total energy is -5.075 eV per atom. As for the space group: P2/m (10).

Cell: 6.956 4.183 7.243 Å, 90.00 110.25 90.00°
Positions (direct):
Li1 0.000 0.000 0.000
Li2 0.000 0.500 0.500
Nd1 0.500 0.000 0.500
Sm1 0.500 0.500 0.000
Se1 0.241 0.500 0.244
Se2 0.242 0.000 0.750
Se3 0.758 0.000 0.250
Se4 0.759 0.500 0.756

***

Question: Among the records above, which one has the highest calculated total energy?
Answer: Li2NdSmSe4

***

Question: What is the formation energy without anion corrections in the third record?
Answer: -13.35 eV per formula unit

***

Please write out number 1 again, unchanged.
The following is a GGA-PBE calculation of LiNd3Sm2Se6 after structural relaxation, from the Alexandria database.

Calculated values
As for the formation energy without anion corrections: -21.52 eV per formula unit. The value obtained for the calculated total energy is -5.673 eV per atom. Its density of states at the Fermi level is 5.3 states/eV/f.u. As for the space group: C2/m (12).

Cell: 7.225 7.225 7.252 Å, 99.60 99.60 120.17°
Positions (direct):
Li1 0.000 0.000 0.000
Nd1 0.168 0.832 0.500
Nd2 0.500 0.500 0.500
Nd3 0.832 0.168 0.500
Sm1 0.335 0.665 0.000
Sm2 0.665 0.335 0.000
Se1 0.079 0.402 0.239
Se2 0.242 0.242 0.762
Se3 0.402 0.079 0.239
Se4 0.598 0.921 0.761
Se5 0.758 0.758 0.238
Se6 0.921 0.598 0.761